No. 1
Below is a relaxed structure of Ir2O5, with properties calculated at the PBE level.

abc: 12.3143 4.7589 5.3297
angles: 90.00 99.92 90.00
With the nearest neighbours (Å) after each atom.
Space group C2/c (No. 15)
One atom of each set of equivalent atoms:
Ir: 0.1412 0.2389 0.2912 (multiplicity 8)  6 O 1.90-2.05
O: 0.0000 0.4299 0.2500 (multiplicity 4)  2 Ir 1.94
O: 0.0915 0.0702 0.9652 (multiplicity 8)  2 Ir 1.90-1.92
O: 0.2023 0.4244 0.6266 (multiplicity 8)  3 Ir 2.02-2.05

Raw formation energy, eV per atom: -0.632

---

No. 2
Below is a relaxed structure of Ti5CoTc4, with properties calculated at the PBE level.

abc: 3.0885 3.0885 15.3527
angles: 90.00 90.00 90.00
With the nearest neighbours (Å) after each atom.
Space group P4/mmm (No. 123)
One atom of each set of equivalent atoms:
Ti: 0.0000 0.0000 0.0000 (multiplicity 1)  8 Tc 2.68
Ti: 0.0000 0.0000 0.2036 (multiplicity 2)  8 Tc 2.69
Ti: 0.0000 0.0000 0.4029 (multiplicity 2)  4 Tc 2.64, 4 Co 2.64
Co: 0.5000 0.5000 0.5000 (multiplicity 1)  8 Ti 2.64
Tc: 0.5000 0.5000 0.1015 (multiplicity 2)  8 Ti 2.68-2.69
Tc: 0.5000 0.5000 0.3060 (multiplicity 2)  8 Ti 2.64-2.69

Formation energy from the elements, kJ/mol of atoms: -46.87

---

No. 3
Below is a relaxed structure of SmTiMnSi2, with properties calculated at the PBE level.

abc: 3.9800 3.9800 11.0478
angles: 90.00 90.00 90.00
With the nearest neighbours (Å) after each atom.
Space group I-4m2 (No. 119)
One atom of each set of equivalent atoms:
Sm: 0.0000 0.0000 0.0000 (multiplicity 2)  8 Si 3.07, 4 Mn 3.40, 4 Ti 3.40
Ti: 0.0000 0.5000 0.2500 (multiplicity 2)  4 Si 2.51
Mn: 0.0000 0.5000 0.7500 (multiplicity 2)  4 Si 2.51
Si: 0.0000 0.0000 0.3888 (multiplicity 4)  1 Si 2.46, 2 Mn 2.51, 2 Ti 2.51

Raw formation energy, eV per atom: -0.643

---

No. 4
Below is a relaxed structure of AcTmTlPt, with properties calculated at the PBE level.

abc: 7.5904 7.5904 7.5904
angles: 90.00 90.00 90.00
With the nearest neighbours (Å) after each atom.
Space group F-43m (No. 216)
One atom of each set of equivalent atoms:
Ac: 0.0000 0.0000 0.0000 (multiplicity 4)  4 Tl 3.29, 4 Pt 3.29
Tm: 0.0000 0.0000 0.5000 (multiplicity 4)  4 Tl 3.29, 4 Pt 3.29
Tl: 0.2500 0.2500 0.7500 (multiplicity 4)  4 Ac 3.29, 4 Tm 3.29
Pt: 0.2500 0.2500 0.2500 (multiplicity 4)  4 Ac 3.29, 4 Tm 3.29

Formation energy from the elements, kJ/mol of atoms: -54.65